Record 1
! CsMnCd2Se4, relaxed, DFT PBE-GGA; values from VASP
! - Energy relative to the elements, uncorrected: -0.555 eV/atom
&SYSTEM
  ibrav = 0, nat = 8, ntyp = 4
/
ATOMIC_SPECIES
Cs 132.91 Cs.upf
Mn 54.94 Mn.upf
Cd 112.41 Cd.upf
Se 78.96 Se.upf
ATOMIC_POSITIONS crystal
Cs 0.000 0.000 0.000
Mn 0.501 0.501 0.499
Cd 0.251 0.251 0.249
Cd 0.751 0.751 0.749
Se 0.166 0.541 0.459
Se 0.462 0.837 0.538
Se 0.541 0.166 0.834
Se 0.837 0.462 0.163
CELL_PARAMETERS angstrom
0.000 4.891 5.350
4.874 0.000 5.350
4.874 4.891 0.000

Record 2
! CsMn2CdTe4, relaxed, DFT PBE-GGA; values from VASP
! - Energy relative to the elements, uncorrected: 0.008 eV/atom
&SYSTEM
  ibrav = 0, nat = 8, ntyp = 4
/
ATOMIC_SPECIES
Cs 132.91 Cs.upf
Mn 54.94 Mn.upf
Cd 112.41 Cd.upf
Te 127.60 Te.upf
ATOMIC_POSITIONS crystal
Cs 0.000 0.000 0.000
Mn 0.406 0.906 0.500
Mn 0.594 0.094 0.500
Cd 0.500 0.500 0.000
Te 0.158 0.087 0.593
Te 0.493 0.564 0.407
Te 0.507 0.913 0.071
Te 0.842 0.436 0.929
CELL_PARAMETERS angstrom
-3.186 4.849 5.242
3.186 -4.849 5.242
3.186 4.849 -5.242

Record 3
! CsCd2Mo2, relaxed, DFT PBE-GGA; values from VASP
! - DFT formation energy: 779 meV per atom
! - Energy above the most stable polymorph in this dataset: 0.00 eV/f.u.
&SYSTEM
  ibrav = 0, nat = 10, ntyp = 3
/
ATOMIC_SPECIES
Cs 132.91 Cs.upf
Cd 112.41 Cd.upf
Mo 95.94 Mo.upf
ATOMIC_POSITIONS crystal
Cs 0.000 0.000 0.000
Cs 0.500 0.500 0.000
Cd 0.190 0.310 0.500
Cd 0.310 0.810 0.500
Cd 0.690 0.190 0.500
Cd 0.810 0.690 0.500
Mo 0.090 0.590 0.000
Mo 0.410 0.090 0.000
Mo 0.590 0.910 0.000
Mo 0.910 0.410 0.000
CELL_PARAMETERS angstrom
8.875 0.000 0.000
0.000 8.875 0.000
0.000 0.000 3.078

Record 4
! CsCdMo2, relaxed, DFT PBE-GGA; values from VASP
! - DFT formation energy: 1642 meV per atom
&SYSTEM
  ibrav = 0, nat = 8, ntyp = 3
/
ATOMIC_SPECIES
Cs 132.91 Cs.upf
Cd 112.41 Cd.upf
Mo 95.94 Mo.upf
ATOMIC_POSITIONS crystal
Cs 0.000 0.000 0.000
Cs 0.750 0.250 0.500
Cd 0.250 0.750 0.500
Cd 0.500 0.500 0.000
Mo 0.238 0.625 0.113
Mo 0.375 0.488 0.613
Mo 0.512 0.125 0.887
Mo 0.875 0.762 0.387
CELL_PARAMETERS angstrom
-2.215 2.215 10.727
2.215 -2.215 10.727
2.215 2.215 -10.727

Number 1: raw total energy -3.779 eV/atom. Number 2: raw total energy -4.076 eV/atom. Number 3: raw total energy -4.090 eV/atom. Number 4: raw total energy -4.216 eV/atom.